1.
# HfTePd2S (meta-GGA SCAN, single point on PBEsol structure)
data_HfTePd2S
_space_group_name_H-M_alt 'P 4/m m m'
_space_group_IT_number 123
_space_group_name_Hall '-P 4 2'
_cell_length_a 4.3747
_cell_length_b 4.3747
_cell_length_c 5.3251
_cell_angle_alpha 90.00
_cell_angle_beta 90.00
_cell_angle_gamma 90.00
loop_
_atom_site_label
_atom_site_type_symbol
_atom_site_fract_x
_atom_site_fract_y
_atom_site_fract_z
Hf1 Hf 0.0000 0.0000 0.0000
Te1 Te 0.5000 0.5000 0.0000
Pd1 Pd 0.0000 0.5000 0.5000
S1 S 0.5000 0.5000 0.5000
# ρ: 8.978 g/cm³
# E_form (uncorrected): 1.1 eV per formula unit
# DFT total energy: -34.793 eV per atom



2.
# Li2POs (meta-GGA SCAN, single point on PBEsol structure)
data_Li2POs
_space_group_name_H-M_alt 'R -3 m'
_space_group_IT_number 166
_space_group_name_Hall '-R 3 2"'
_cell_length_a 2.6486
_cell_length_b 2.6486
_cell_length_c 25.7800
_cell_angle_alpha 90.00
_cell_angle_beta 90.00
_cell_angle_gamma 120.00
loop_
_atom_site_label
_atom_site_type_symbol
_atom_site_fract_x
_atom_site_fract_y
_atom_site_fract_z
Li1 Li 0.0000 0.0000 0.2452
P1 P 0.0000 0.0000 0.5000
Os1 Os 0.0000 0.0000 0.0000
# ρ: 7.477 g/cm³
# E_form: -62 meV per atom
# DFT total energy: -21.826 eV per atom



3.
# MgCu2Se2 (meta-GGA SCAN, single point on PBEsol structure)
data_MgCu2Se2
_space_group_name_H-M_alt 'I b a m'
_space_group_IT_number 72
_space_group_name_Hall '-I 2 2c'
_cell_length_a 5.0083
_cell_length_b 12.6551
_cell_length_c 6.9885
_cell_angle_alpha 90.00
_cell_angle_beta 90.00
_cell_angle_gamma 90.00
loop_
_atom_site_label
_atom_site_type_symbol
_atom_site_fract_x
_atom_site_fract_y
_atom_site_fract_z
Mg1 Mg 0.0000 0.0000 0.2500
Cu1 Cu 0.0187 0.2376 0.0000
Se1 Se 0.2228 0.3981 0.0000
# ρ: 4.638 g/cm³
# E_form (uncorrected): -2.4 eV per formula unit
# DFT total energy: -15.590 eV per atom
# Energy relative to the lowest polymorph listed for this composition: 0.088 eV/atom